Here is a relaxed SnMoN2F crystal from Alexandria via LeMat-Bulk. Energies are from GGA-PBEsol.

**Crystal system**: tetragonal
**ΔE_f (raw)**: -2.04 eV per formula unit
**Symmetry**: P4/mmm

abc: 3.9772 3.9772 4.0835
angles: 90.00 90.00 90.00
Last column: nearest neighbours and their distance in Å.
Fractional coordinates of all 5 atoms:
Mo1 0.0000 0.0000 0.0000  4 N 1.99, 2 F 2.04
N1 0.0000 0.5000 0.0000  2 Mo 1.99
N2 0.5000 0.0000 0.0000  2 Mo 1.99
Sn1 0.5000 0.5000 0.5000  4 F 2.81, 8 N 2.85
F1 0.0000 0.0000 0.5000  2 Mo 2.04